Computed, not measured: a relaxed structure of TbGdHoAg at the GGA-PBE level of DFT.

As for the formation energy: 0.27 eV/f.u. The volume is 109.19 Å³/f.u. The value obtained for the density is 8.96 Mg/m³. The density of states at the Fermi level is 6.445 states/eV/f.u.

It has space group F-43m (No. 216), with a = 7.587 Å, b = 7.587 Å, c = 7.587 Å, α = 90.00°, β = 90.00° and γ = 90.00°. Symmetry generates all atoms from Tb at (0.000, 0.000, 0.000), Gd at (0.250, 0.250, 0.750), Ho at (0.000, 0.000, 0.500) and Ag at (0.250, 0.250, 0.250).